HfInI6: relaxed, PBE.

CIF file:
```
data_HfInI6
_chemical_formula_sum 'Hf1 In1 I6'
_cell_length_a 8.018
_cell_length_b 8.018
_cell_length_c 8.018
_cell_angle_alpha 55.88
_cell_angle_beta 55.88
_cell_angle_gamma 55.88
_symmetry_space_group_name_H-M 'P 1'
_symmetry_Int_Tables_number 1
_symmetry_space_group_name_Hall 'P 1'
loop_
_atom_site_label
_atom_site_fract_x
_atom_site_fract_y
_atom_site_fract_z
_atom_site_occupancy
Hf1 0.000 0.000 0.000 1
In1 0.500 0.500 0.500 1
I1 0.068 0.398 0.774 1
I2 0.226 0.932 0.602 1
I3 0.398 0.774 0.068 1
I4 0.602 0.226 0.931 1
I5 0.774 0.068 0.398 1
I6 0.932 0.602 0.226 1
```

Values from the calculation:
Offset from the most stable computed form in meV/atom: 27

***

Ca3Sn3Pt2: relaxed, PBE.

CIF file:
```
data_Ca3Sn3Pt2
_chemical_formula_sum 'Ca12 Sn12 Pt8'
_cell_length_a 8.586
_cell_length_b 15.813
_cell_length_c 5.916
_cell_angle_alpha 90.00
_cell_angle_beta 90.00
_cell_angle_gamma 90.00
_symmetry_space_group_name_H-M 'P 1'
_symmetry_Int_Tables_number 1
_symmetry_space_group_name_Hall 'P 1'
loop_
_atom_site_label
_atom_site_fract_x
_atom_site_fract_y
_atom_site_fract_z
_atom_site_occupancy
Ca1 0.037 0.112 0.112 1
Ca2 0.037 0.388 0.112 1
Ca3 0.176 0.250 0.629 1
Ca4 0.324 0.750 0.129 1
Ca5 0.463 0.612 0.612 1
Ca6 0.463 0.888 0.612 1
Ca7 0.537 0.112 0.388 1
Ca8 0.537 0.388 0.388 1
Ca9 0.676 0.250 0.871 1
Ca10 0.824 0.750 0.371 1
Ca11 0.963 0.612 0.888 1
Ca12 0.963 0.888 0.888 1
Sn1 0.170 0.750 0.623 1
Sn2 0.186 0.037 0.615 1
Sn3 0.186 0.463 0.615 1
Sn4 0.314 0.537 0.115 1
Sn5 0.314 0.963 0.115 1
Sn6 0.330 0.250 0.123 1
Sn7 0.670 0.750 0.877 1
Sn8 0.686 0.037 0.885 1
Sn9 0.686 0.463 0.885 1
Sn10 0.814 0.537 0.385 1
Sn11 0.814 0.963 0.385 1
Sn12 0.830 0.250 0.377 1
Pt1 0.096 0.610 0.382 1
Pt2 0.096 0.890 0.382 1
Pt3 0.404 0.110 0.882 1
Pt4 0.404 0.390 0.882 1
Pt5 0.596 0.610 0.118 1
Pt6 0.596 0.890 0.118 1
Pt7 0.904 0.110 0.618 1
Pt8 0.904 0.390 0.618 1
```

Values from the calculation:
E_form in eV per atom: -0.794

***

BaGaFe2Rh: relaxed, PBE.

CIF file:
```
data_BaGaFe2Rh
_chemical_formula_sum 'Ba1 Ga1 Fe2 Rh1'
_cell_length_a 4.519
_cell_length_b 4.519
_cell_length_c 5.913
_cell_angle_alpha 90.00
_cell_angle_beta 90.00
_cell_angle_gamma 90.00
_symmetry_space_group_name_H-M 'P 1'
_symmetry_Int_Tables_number 1
_symmetry_space_group_name_Hall 'P 1'
loop_
_atom_site_label
_atom_site_fract_x
_atom_site_fract_y
_atom_site_fract_z
_atom_site_occupancy
Ba1 0.000 0.000 0.000 1
Ga1 0.000 0.000 0.500 1
Fe1 0.000 0.500 0.500 1
Fe2 0.500 0.000 0.500 1
Rh1 0.500 0.500 0.000 1
```

Values from the calculation:
E_form in eV per atom: 1.069

***

Re2AgSb: relaxed, PBE.

CIF file:
```
data_Re2AgSb
_chemical_formula_sum 'Re2 Ag1 Sb1'
_cell_length_a 4.542
_cell_length_b 4.542
_cell_length_c 3.223
_cell_angle_alpha 90.00
_cell_angle_beta 90.00
_cell_angle_gamma 90.00
_symmetry_space_group_name_H-M 'P 1'
_symmetry_Int_Tables_number 1
_symmetry_space_group_name_Hall 'P 1'
loop_
_atom_site_label
_atom_site_fract_x
_atom_site_fract_y
_atom_site_fract_z
_atom_site_occupancy
Re1 0.000 0.500 0.000 1
Re2 0.500 0.000 0.000 1
Ag1 0.000 0.000 0.500 1
Sb1 0.500 0.500 0.500 1
```

Values from the calculation:
E_tot in eV per cell: -28.465

***

LaTb5Sm2Sc: relaxed, PBE.

CIF file:
```
data_LaTb5Sm2Sc
_chemical_formula_sum 'La2 Tb10 Sm4 Sc2'
_cell_length_a 10.281
_cell_length_b 10.281
_cell_length_c 10.474
_cell_angle_alpha 90.00
_cell_angle_beta 90.00
_cell_angle_gamma 148.21
_symmetry_space_group_name_H-M 'P 1'
_symmetry_Int_Tables_number 1
_symmetry_space_group_name_Hall 'P 1'
loop_
_atom_site_label
_atom_site_fract_x
_atom_site_fract_y
_atom_site_fract_z
_atom_site_occupancy
La1 0.085 0.915 0.500 1
La2 0.915 0.085 0.000 1
Tb1 0.017 0.983 0.783 1
Tb2 0.126 0.874 0.061 1
Tb3 0.204 0.796 0.748 1
Tb4 0.222 0.778 0.365 1
Tb5 0.482 0.518 0.063 1
Tb6 0.518 0.482 0.563 1
Tb7 0.778 0.222 0.865 1
Tb8 0.796 0.204 0.248 1
Tb9 0.874 0.126 0.561 1
Tb10 0.983 0.017 0.283 1
Sm1 0.386 0.614 0.775 1
Sm2 0.387 0.613 0.357 1
Sm3 0.613 0.387 0.857 1
Sm4 0.614 0.386 0.275 1
Sc1 0.303 0.697 0.056 1
Sc2 0.697 0.303 0.556 1
```

Values from the calculation:
E_form in eV per atom: 0.167

***

CaLa2ErSb4: relaxed, PBE.

CIF file:
```
data_CaLa2ErSb4
_chemical_formula_sum 'Ca1 La2 Er1 Sb4'
_cell_length_a 7.724
_cell_length_b 4.563
_cell_length_c 7.956
_cell_angle_alpha 90.00
_cell_angle_beta 109.80
_cell_angle_gamma 90.00
_symmetry_space_group_name_H-M 'P 1'
_symmetry_Int_Tables_number 1
_symmetry_space_group_name_Hall 'P 1'
loop_
_atom_site_label
_atom_site_fract_x
_atom_site_fract_y
_atom_site_fract_z
_atom_site_occupancy
Ca1 0.000 0.000 0.000 1
La1 0.500 0.000 0.500 1
La2 0.500 0.500 0.000 1
Er1 0.000 0.500 0.500 1
Sb1 0.237 0.000 0.740 1
Sb2 0.241 0.500 0.253 1
Sb3 0.759 0.500 0.747 1
Sb4 0.763 0.000 0.260 1
```

Values from the calculation:
E_tot in eV per cell: -41.551

***

SmDy2Tl2: relaxed, PBE.

CIF file:
```
data_SmDy2Tl2
_chemical_formula_sum 'Sm2 Dy4 Tl4'
_cell_length_a 5.286
_cell_length_b 6.672
_cell_length_c 9.200
_cell_angle_alpha 76.82
_cell_angle_beta 89.96
_cell_angle_gamma 66.67
_symmetry_space_group_name_H-M 'P 1'
_symmetry_Int_Tables_number 1
_symmetry_space_group_name_Hall 'P 1'
loop_
_atom_site_label
_atom_site_fract_x
_atom_site_fract_y
_atom_site_fract_z
_atom_site_occupancy
Sm1 0.067 0.367 0.354 1
Sm2 0.933 0.633 0.646 1
Dy1 0.251 0.998 0.752 1
Dy2 0.431 0.638 0.141 1
Dy3 0.569 0.362 0.859 1
Dy4 0.749 0.002 0.248 1
Tl1 0.135 0.229 0.042 1
Tl2 0.365 0.770 0.450 1
Tl3 0.635 0.230 0.550 1
Tl4 0.865 0.771 0.958 1
```

Values from the calculation:
E_form in eV per atom: -0.287

***

InRe2Br: relaxed, PBE.

CIF file:
```
data_InRe2Br
_chemical_formula_sum 'In1 Re2 Br1'
_cell_length_a 3.682
_cell_length_b 4.940
_cell_length_c 5.304
_cell_angle_alpha 90.00
_cell_angle_beta 98.58
_cell_angle_gamma 90.00
_symmetry_space_group_name_H-M 'P 1'
_symmetry_Int_Tables_number 1
_symmetry_space_group_name_Hall 'P 1'
loop_
_atom_site_label
_atom_site_fract_x
_atom_site_fract_y
_atom_site_fract_z
_atom_site_occupancy
In1 0.000 0.000 0.000 1
Re1 0.295 0.500 0.144 1
Re2 0.705 0.500 0.856 1
Br1 0.500 0.000 0.500 1
```

Values from the calculation:
Offset from the most stable computed form in meV/atom: 667

***

K3TcNi3Se8: relaxed, PBE.

CIF file:
```
data_K3TcNi3Se8
_chemical_formula_sum 'K3 Tc1 Ni3 Se8'
_cell_length_a 7.477
_cell_length_b 7.477
_cell_length_c 8.608
_cell_angle_alpha 115.68
_cell_angle_beta 115.68
_cell_angle_gamma 60.00
_symmetry_space_group_name_H-M 'P 1'
_symmetry_Int_Tables_number 1
_symmetry_space_group_name_Hall 'P 1'
loop_
_atom_site_label
_atom_site_fract_x
_atom_site_fract_y
_atom_site_fract_z
_atom_site_occupancy
K1 0.000 0.000 0.000 1
K2 0.000 0.500 0.000 1
K3 0.500 0.000 0.000 1
Tc1 0.000 0.000 0.500 1
Ni1 0.000 0.500 0.500 1
Ni2 0.500 0.000 0.500 1
Ni3 0.500 0.500 0.500 1
Se1 0.227 0.227 0.668 1
Se2 0.227 0.715 0.669 1
Se3 0.280 0.280 0.340 1
Se4 0.285 0.773 0.331 1
Se5 0.715 0.227 0.669 1
Se6 0.720 0.720 0.660 1
Se7 0.773 0.285 0.331 1
Se8 0.773 0.773 0.332 1
```

Values from the calculation:
E_tot in eV per cell: -66.049

***

Ni4H5Pd: relaxed, PBE.

CIF file:
```
data_Ni4H5Pd
_chemical_formula_sum 'Ni4 H5 Pd1'
_cell_length_a 4.675
_cell_length_b 4.675
_cell_length_c 6.618
_cell_angle_alpha 118.75
_cell_angle_beta 118.75
_cell_angle_gamma 33.86
_symmetry_space_group_name_H-M 'P 1'
_symmetry_Int_Tables_number 1
_symmetry_space_group_name_Hall 'P 1'
loop_
_atom_site_label
_atom_site_fract_x
_atom_site_fract_y
_atom_site_fract_z
_atom_site_occupancy
Ni1 0.104 0.104 0.410 1
Ni2 0.307 0.307 0.208 1
Ni3 0.693 0.693 0.792 1
Ni4 0.896 0.896 0.590 1
H1 0.114 0.114 0.878 1
H2 0.291 0.291 0.677 1
H3 0.500 0.500 0.500 1
H4 0.709 0.709 0.323 1
H5 0.886 0.886 0.122 1
Pd1 0.500 0.500 0.000 1
```

Values from the calculation:
E_tot in eV per cell: -45.441

***

ThSn2Hg: relaxed, PBE.

CIF file:
```
data_ThSn2Hg
_chemical_formula_sum 'Th1 Sn2 Hg1'
_cell_length_a 4.747
_cell_length_b 4.747
_cell_length_c 4.692
_cell_angle_alpha 90.00
_cell_angle_beta 90.00
_cell_angle_gamma 90.00
_symmetry_space_group_name_H-M 'P 1'
_symmetry_Int_Tables_number 1
_symmetry_space_group_name_Hall 'P 1'
loop_
_atom_site_label
_atom_site_fract_x
_atom_site_fract_y
_atom_site_fract_z
_atom_site_occupancy
Th1 0.000 0.000 0.000 1
Sn1 0.000 0.500 0.500 1
Sn2 0.500 0.000 0.500 1
Hg1 0.500 0.500 0.000 1
```

Values from the calculation:
Offset from the most stable computed form in meV/atom: 0
E_form in eV per atom: -0.404

***

LiPuScTe3: relaxed, PBE.

CIF file:
```
data_LiPuScTe3
_chemical_formula_sum 'Li2 Pu2 Sc2 Te6'
_cell_length_a 8.590
_cell_length_b 4.229
_cell_length_c 9.416
_cell_angle_alpha 90.00
_cell_angle_beta 104.16
_cell_angle_gamma 90.00
_symmetry_space_group_name_H-M 'P 1'
_symmetry_Int_Tables_number 1
_symmetry_space_group_name_Hall 'P 1'
loop_
_atom_site_label
_atom_site_fract_x
_atom_site_fract_y
_atom_site_fract_z
_atom_site_occupancy
Li1 0.087 0.250 0.087 1
Li2 0.913 0.750 0.913 1
Pu1 0.190 0.250 0.737 1
Pu2 0.810 0.750 0.263 1
Sc1 0.328 0.750 0.338 1
Sc2 0.672 0.250 0.662 1
Te1 0.099 0.250 0.375 1
Te2 0.247 0.750 0.011 1
Te3 0.435 0.750 0.662 1
Te4 0.565 0.250 0.338 1
Te5 0.753 0.250 0.989 1
Te6 0.901 0.750 0.625 1
```

Values from the calculation:
E_tot in eV per cell: -77.027